[1]
Compound: MgNb2Zn
Source: the Alexandria database
Functional: GGA-PBE
Structure: optimized geometry

```
MgNb2Zn
1.0
-3.7579 3.7579 2.6451
3.7579 -3.7579 2.6451
3.7579 3.7579 -2.6451
Mg Nb Zn
2 4 2
direct
0.0000 0.0000 0.0000 Mg
0.7500 0.2500 0.5000 Mg
0.1418 0.6250 0.0168 Nb
0.3750 0.3918 0.5168 Nb
0.6082 0.1250 0.9832 Nb
0.8750 0.8582 0.4832 Nb
0.2500 0.7500 0.5000 Zn
0.5000 0.5000 0.0000 Zn
```

Properties
Offset from the most stable computed form ... 70 kJ/mol of formula units
Space-group type ... I-42d, No. 122

***

[2]
Compound: InHgOF2
Source: the Alexandria database
Functional: GGA-PBE
Structure: optimized geometry

```
InHgOF2
1.0
5.0638 0.0000 0.0000
0.0000 5.0638 0.0000
0.0000 0.0000 3.7019
In Hg O F
1 1 1 2
direct
0.0000 0.0000 0.0000 In
0.5000 0.5000 0.0000 Hg
0.0000 0.0000 0.5000 O
0.0000 0.5000 0.5000 F
0.5000 0.0000 0.5000 F
```

Properties
Offset from the most stable computed form ... 399 kJ/mol of formula units
Space-group type ... P4/mmm, No. 123